1.
Computed, not measured: Tb6Te3PbSe2 after structural relaxation at the PBE level of DFT.

Cell and atoms, written as POSCAR:
```
Tb6Te3PbSe2
1.0
-1.453 0.339 4.017
4.141 -7.290 2.113
7.017 6.645 -0.309
Te Tb Se Pb
3 6 2 1
direct
0.500 0.500 0.000
0.836 0.168 0.672
0.164 0.832 0.328
0.991 0.749 0.982
0.009 0.251 0.018
0.325 0.432 0.650
0.333 0.892 0.665
0.667 0.108 0.335
0.675 0.568 0.350
0.832 0.664 0.665
0.168 0.336 0.335
0.500 0.000 0.000
```

Results
Formation energy (no corrections) in eV per atom: -1.354
Space group: C2/m, No. 12
DOS(E_F) in states/eV/atom: 0.330

2.
Computed, not measured: Tb4Te2PbSe after structural relaxation at the PBE level of DFT.

Cell and atoms, written as POSCAR:
```
Tb4Te2PbSe
1.0
-0.475 0.241 -4.302
-5.969 -4.624 0.401
-6.223 4.046 0.914
Pb Tb Te Se
1 4 2 1
direct
0.000 0.500 0.500
0.000 0.272 0.234
0.500 0.263 0.753
0.000 0.728 0.766
0.500 0.737 0.247
0.000 0.000 0.000
0.500 0.000 0.500
0.500 0.500 0.000
```

Results
Formation energy (no corrections) in eV per atom: -1.255
Space group: P2/m, No. 10
DOS(E_F) in states/eV/atom: 0.408

3.
Computed, not measured: Tb6Te3Pb2Se after structural relaxation at the PBE level of DFT.

Cell and atoms, written as POSCAR:
```
Tb6Te3Pb2Se
1.0
-3.042 1.482 2.767
-4.030 -7.770 -0.270
7.655 -1.651 5.850
Te Tb Pb Se
3 6 2 1
direct
0.167 0.833 0.335
0.833 0.167 0.665
0.500 0.500 0.000
0.332 0.423 0.665
0.998 0.768 0.996
0.660 0.084 0.319
0.668 0.577 0.335
0.002 0.232 0.004
0.340 0.916 0.681
0.166 0.330 0.332
0.834 0.670 0.668
0.500 0.000 0.000
```

Results
Formation energy (no corrections) in eV per atom: -1.156
Space group: C2/m, No. 12
DOS(E_F) in states/eV/atom: 0.377

4.
Computed, not measured: Tb6Te2PbSe3 after structural relaxation at the PBE level of DFT.

Cell and atoms, written as POSCAR:
```
Tb6Te2PbSe3
1.0
-2.912 2.805 1.224
1.208 -2.306 8.161
7.559 5.495 -1.902
Tb Se Pb Te
6 3 1 2
direct
0.005 0.742 0.011
0.341 0.400 0.683
0.659 0.600 0.317
0.995 0.258 0.989
0.669 0.064 0.339
0.331 0.936 0.661
0.500 0.500 0.000
0.168 0.832 0.336
0.832 0.168 0.664
0.500 0.000 0.000
0.169 0.336 0.337
0.831 0.664 0.663
```

Results
Formation energy (no corrections) in eV per atom: -1.425
Space group: C2/m, No. 12
DOS(E_F) in states/eV/atom: 0.381

5.
Computed, not measured: Tb8Te4PbSe3 after structural relaxation at the PBE level of DFT.

Cell and atoms, written as POSCAR:
```
Tb8Te4PbSe3
1.0
8.524 0.000 0.000
0.000 8.638 0.075
-4.262 -4.258 6.031
Te Se Tb Pb
4 3 8 1
direct
0.000 0.000 0.000
0.500 0.000 0.000
0.000 0.000 0.500
0.500 0.000 0.500
0.500 0.500 0.000
0.000 0.500 0.500
0.500 0.500 0.500
0.248 0.726 0.979
0.262 0.285 0.523
0.752 0.274 0.021
0.731 0.726 0.979
0.738 0.715 0.477
0.269 0.274 0.021
0.248 0.726 0.495
0.752 0.274 0.505
0.000 0.500 0.000
```

Results
Formation energy (no corrections) in eV per atom: -1.406
Space group: R-3m, No. 166
DOS(E_F) in states/eV/atom: 0.379

6.
Computed, not measured: Tb6TlPb2Se3 after structural relaxation at the PBE level of DFT.

Cell and atoms, written as POSCAR:
```
Tb6TlPb2Se3
1.0
-0.487 -3.311 2.251
-3.163 -4.459 -7.241
9.910 0.910 -0.131
Tb Se Pb Tl
6 3 2 1
direct
0.663 0.588 0.327
0.012 0.730 0.023
0.673 0.054 0.346
0.337 0.412 0.673
0.327 0.946 0.654
0.988 0.270 0.977
0.500 0.500 0.000
0.831 0.177 0.662
0.169 0.823 0.338
0.158 0.309 0.315
0.842 0.691 0.685
0.500 0.000 0.000
```

Results
Formation energy (no corrections) in eV per atom: -1.100
Space group: C2/m, No. 12
DOS(E_F) in states/eV/atom: 0.379

7.
Computed, not measured: TbTlPb2Se4 after structural relaxation at the PBE level of DFT.

Cell and atoms, written as POSCAR:
```
TbTlPb2Se4
1.0
-2.256 -3.697 0.159
1.141 -1.010 -7.306
6.484 -3.995 -0.919
Se Tl Pb Tb
4 1 2 1
direct
0.500 0.735 0.273
0.500 0.265 0.727
0.000 0.254 0.273
0.000 0.746 0.727
0.500 0.500 0.000
0.500 0.000 0.500
0.000 0.000 0.000
0.000 0.500 0.500
```

Results
Formation energy (no corrections) in eV per atom: -0.900
Space group: P2/m, No. 10

8.
Computed, not measured: TbTmPbSe after structural relaxation at the PBE level of DFT.

Cell and atoms, written as POSCAR:
```
TbTmPbSe
1.0
-0.713 -4.215 -0.295
3.953 -0.560 -1.558
2.091 -0.744 5.575
Tm Se Tb Pb
1 1 1 1
direct
0.000 0.892 0.592
0.500 0.392 0.593
0.500 0.391 0.093
0.000 0.891 0.092
```

Results
Formation energy (no corrections) in eV per atom: -1.077
Space group: P4/mmm, No. 123
DOS(E_F) in states/eV/atom: 0.188

9.
Computed, not measured: Tc3PbSe after structural relaxation at the PBE level of DFT.

Cell and atoms, written as POSCAR:
```
Tc3PbSe
1.0
4.625 0.000 0.000
0.000 4.625 0.000
0.000 0.000 4.625
Tc Pb Se
3 1 1
direct
0.500 0.000 0.000
0.000 0.000 0.500
0.000 0.500 0.000
0.500 0.500 0.500
0.000 0.000 0.000
```

Results
E above lowest polymorph in meV/atom: 0
Formation energy (no corrections) in eV per atom: 1.005
Space group: Pm-3m, No. 221
DOS(E_F) in states/eV/atom: 0.980

10.
Computed, not measured: Tc3PbSe after structural relaxation at the PBE level of DFT.

Cell and atoms, written as POSCAR:
```
Tc3PbSe
1.0
-0.065 -4.533 2.074
4.316 -1.089 -2.246
2.495 1.766 3.938
Tc Se Pb
3 1 1
direct
0.000 0.500 0.000
0.500 0.000 0.000
0.000 0.000 0.500
0.500 0.500 0.500
0.000 0.000 0.000
```

Results
E above lowest polymorph in meV/atom: 1610
Formation energy (no corrections) in eV per atom: 2.615
Space group: Pm-3m, No. 221
DOS(E_F) in states/eV/atom: 2.931

11.
Computed, not measured: TcPbSe3 after structural relaxation at the PBE level of DFT.

Cell and atoms, written as POSCAR:
```
TcPbSe3
1.0
4.993 0.000 0.000
0.000 4.993 0.000
0.000 0.000 4.993
Se Pb Tc
3 1 1
direct
0.000 0.500 0.000
0.000 0.000 0.500
0.500 0.000 0.000
0.500 0.500 0.500
0.000 0.000 0.000
```

Results
E above lowest polymorph in meV/atom: 0
Formation energy (no corrections) in eV per atom: 0.093
Space group: Pm-3m, No. 221
DOS(E_F) in states/eV/atom: 1.177

12.
Computed, not measured: ZrTc2PbSe after structural relaxation at the PBE level of DFT.

Cell and atoms, written as POSCAR:
```
ZrTc2PbSe
1.0
-4.011 2.112 0.972
-0.381 -2.659 4.203
2.297 3.306 2.300
Tc Se Zr Pb
2 1 1 1
direct
0.000 0.000 0.500
0.500 0.000 0.000
0.000 0.000 0.000
0.000 0.500 0.000
0.500 0.500 0.500
```

Results
Formation energy (no corrections) in eV per atom: 0.554
Space group: P4/mmm, No. 123
DOS(E_F) in states/eV/atom: 0.783

13.
Computed, not measured: TePbSe after structural relaxation at the PBE level of DFT.

Cell and atoms, written as POSCAR:
```
TePbSe
1.0
-3.536 -2.461 -1.178
2.482 -1.197 3.515
-3.053 2.885 3.138
Se Te Pb
1 1 1
direct
0.667 0.333 0.319
0.333 0.667 0.665
0.000 0.000 0.015
```

Results
E above lowest polymorph in meV/atom: 47
Formation energy (no corrections) in eV per atom: -0.085
Space group: P3m1, No. 156
DOS(E_F) in states/eV/atom: 0.699

14.
Computed, not measured: TePbSe2 after structural relaxation at the PBE level of DFT.

Cell and atoms, written as POSCAR:
```
TePbSe2
1.0
5.983 -0.001 0.008
1.994 5.641 -0.008
-3.586 -3.388 3.384
Se Pb Te
2 1 1
direct
0.937 0.937 0.000
0.563 0.563 0.000
0.250 0.750 0.500
0.750 0.250 0.500
```

Results
E above lowest polymorph in meV/atom: 155
Formation energy (no corrections) in eV per atom: -0.072
Space group: Immm, No. 71
DOS(E_F) in states/eV/atom: 0.224

15.
Computed, not measured: TePbSe2 after structural relaxation at the PBE level of DFT.

Cell and atoms, written as POSCAR:
```
TePbSe2
1.0
-0.010 4.057 -5.335
-1.996 0.074 -6.398
-4.307 3.216 -4.004
Se Pb Te
2 1 1
direct
0.504 0.504 0.504
0.996 0.996 0.996
0.750 0.750 0.750
0.250 0.250 0.250
```

Results
E above lowest polymorph in meV/atom: 137
Formation energy (no corrections) in eV per atom: -0.090
Space group: R-3m, No. 166
DOS(E_F) in states/eV/atom: 0.718

16.
Computed, not measured: Te5Pb6Se after structural relaxation at the PBE level of DFT.

Cell and atoms, written as POSCAR:
```
Te5Pb6Se
1.0
-2.938 -1.906 -7.150
-3.456 -7.159 0.376
-7.711 -0.604 1.853
Te Pb Se
5 6 1
direct
0.000 0.666 0.669
0.500 0.828 0.343
0.500 0.500 0.000
0.500 0.172 0.657
0.000 0.334 0.331
0.244 0.596 0.323
0.756 0.404 0.677
0.754 0.759 0.000
0.246 0.241 0.000
0.244 0.919 0.677
0.756 0.081 0.323
0.000 0.000 0.000
```

Results
Formation energy (no corrections) in eV per atom: -0.427
Space group: C2/m, No. 12

17.
Computed, not measured: TePbSe2 after structural relaxation at the PBE level of DFT.

Cell and atoms, written as POSCAR:
```
TePbSe2
1.0
-3.002 -0.463 -4.300
-1.340 -4.772 -1.774
-4.975 -1.666 0.430
Pb Se Te
1 2 1
direct
0.500 0.500 0.500
0.250 0.250 0.250
0.000 0.000 0.000
0.750 0.750 0.750
```

Results
E above lowest polymorph in meV/atom: 460
Formation energy (no corrections) in eV per atom: 0.232
Space group: F-43m, No. 216
DOS(E_F) in states/eV/atom: 0.983

18.
Computed, not measured: TePbSe after structural relaxation at the PBE level of DFT.

Cell and atoms, written as POSCAR:
```
TePbSe
1.0
-4.863 -0.969 -1.434
-1.464 -4.835 -1.059
-3.188 -2.492 3.205
Te Pb Se
1 1 1
direct
0.000 0.000 0.000
0.500 0.500 0.500
0.750 0.750 0.750
```

Results
E above lowest polymorph in meV/atom: 281
Formation energy (no corrections) in eV per atom: 0.148
Space group: F-43m, No. 216
DOS(E_F) in states/eV/atom: 1.114

19.
Computed, not measured: TePb5Se4 after structural relaxation at the PBE level of DFT.

Cell and atoms, written as POSCAR:
```
TePb5Se4
1.0
4.353 0.000 -0.840
-0.324 6.056 -1.681
0.009 -0.008 11.750
Pb Se Te
5 4 1
direct
0.802 0.302 0.604
0.000 0.500 0.000
0.198 0.698 0.396
0.607 0.107 0.213
0.393 0.893 0.787
0.400 0.400 0.800
0.797 0.797 0.594
0.203 0.203 0.406
0.600 0.600 0.200
0.000 0.000 0.000
```

Results
E above lowest polymorph in meV/atom: 0
Formation energy (no corrections) in eV per atom: -0.524
Space group: Immm, No. 71

20.
Computed, not measured: TePb2Se2 after structural relaxation at the PBE level of DFT.

Cell and atoms, written as POSCAR:
```
TePb2Se2
1.0
-2.024 -3.038 7.828
-1.618 -7.760 -3.430
3.628 -1.000 0.550
Se Pb Te
4 4 2
direct
0.350 0.150 0.500
0.650 0.850 0.500
0.150 0.650 0.500
0.850 0.350 0.500
0.157 0.343 0.000
0.843 0.657 0.000
0.343 0.843 0.000
0.657 0.157 0.000
0.000 0.000 0.000
0.500 0.500 0.000
```

Results
E above lowest polymorph in meV/atom: 37
Formation energy (no corrections) in eV per atom: -0.152
Space group: P4/mbm, No. 127
DOS(E_F) in states/eV/atom: 0.810